[1]
A relaxed structure of Li3ReO4, computed with PBE.

* ΔE_f (raw): -1.8407 eV per atom
* DFT total energy: -6.59 eV per atom
* Fermi-level density of states: 0.75 states/eV/cell
* space-group type: P2/c (13)
* size of the total moment: 0.000 μB per formula unit

CIF file:
```
data_Li3ReO4
_symmetry_space_group_name_H-M 'P 1'
_symmetry_Int_Tables_number 1
_symmetry_space_group_name_Hall 'P 1'
_cell_length_a 4.8530
_cell_length_b 5.2683
_cell_length_c 5.8969
_cell_angle_alpha 90.00
_cell_angle_beta 90.00
_cell_angle_gamma 108.70
loop_
_atom_site_label
_atom_site_type_symbol
_atom_site_fract_x
_atom_site_fract_y
_atom_site_fract_z
_atom_site_occupancy
Re1 Re 0.7500 0.0000 0.8890 1
Re2 Re 0.2500 0.0000 0.1110 1
O1 O 0.9826 0.2269 0.6590 1
O2 O 0.4925 0.2466 0.8671 1
O3 O 0.4826 0.2269 0.3410 1
O4 O 0.9925 0.2466 0.1329 1
O5 O 0.0075 0.7534 0.8671 1
O6 O 0.5174 0.7731 0.6590 1
O7 O 0.5075 0.7534 0.1329 1
O8 O 0.0174 0.7731 0.3410 1
Li1 Li 0.7500 0.0000 0.4010 1
Li2 Li 0.2500 0.0000 0.5990 1
Li3 Li 0.7500 0.5000 0.6141 1
Li4 Li 0.7500 0.5000 0.1359 1
Li5 Li 0.2500 0.5000 0.3859 1
Li6 Li 0.2500 0.5000 0.8641 1
```

=====

[2]
A relaxed structure of Li5ReO5, computed with PBE.

* ΔE_f (raw): -1.8325 eV per atom
* DFT total energy: -6.09 eV per atom
* Fermi-level density of states: 3.88 states/eV/cell
* space-group type: C2/m (12)
* size of the total moment: 1.108 μB per formula unit

CIF file:
```
data_Li5ReO5
_symmetry_space_group_name_H-M 'P 1'
_symmetry_Int_Tables_number 1
_symmetry_space_group_name_Hall 'P 1'
_cell_length_a 3.8802
_cell_length_b 5.3171
_cell_length_c 5.8753
_cell_angle_alpha 107.04
_cell_angle_beta 90.00
_cell_angle_gamma 111.40
loop_
_atom_site_label
_atom_site_type_symbol
_atom_site_fract_x
_atom_site_fract_y
_atom_site_fract_z
_atom_site_occupancy
Li1 Li 0.7147 0.4294 0.3481 1
Li2 Li 0.6959 0.3919 0.8602 1
Li3 Li 0.0000 0.0000 0.5000 1
Li4 Li 0.3041 0.6081 0.1398 1
Li5 Li 0.2853 0.5706 0.6519 1
Re1 Re 0.0000 0.0000 0.0000 1
O1 O 0.8549 0.7098 0.1750 1
O2 O 0.8470 0.6939 0.6823 1
O3 O 0.5000 0.0000 0.0000 1
O4 O 0.1530 0.3061 0.3177 1
O5 O 0.1451 0.2902 0.8250 1
```

=====

[3]
A relaxed structure of Li2ReSbO6, computed with PBE.

* ΔE_f (raw): -1.5138 eV per atom
* DFT total energy: -6.53 eV per atom
* Fermi-level density of states: 1.84 states/eV/cell
* space-group type: P4mm (99)
* size of the total moment: 1.009 μB per formula unit

CIF file:
```
data_Li2ReSbO6
_symmetry_space_group_name_H-M 'P 1'
_symmetry_Int_Tables_number 1
_symmetry_space_group_name_Hall 'P 1'
_cell_length_a 4.0849
_cell_length_b 5.6604
_cell_length_c 5.6604
_cell_angle_alpha 90.00
_cell_angle_beta 90.00
_cell_angle_gamma 90.00
loop_
_atom_site_label
_atom_site_type_symbol
_atom_site_fract_x
_atom_site_fract_y
_atom_site_fract_z
_atom_site_occupancy
Li1 Li 0.8973 0.5000 0.0000 1
Li2 Li 0.8973 0.0000 0.5000 1
Re1 Re 0.6328 0.0000 0.0000 1
Sb1 Sb 0.6732 0.5000 0.5000 1
O1 O 0.7392 0.2364 0.2364 1
O2 O 0.7392 0.2364 0.7636 1
O3 O 0.1834 0.5000 0.5000 1
O4 O 0.2063 0.0000 0.0000 1
O5 O 0.7392 0.7636 0.7636 1
O6 O 0.7392 0.7636 0.2364 1
```

=====

[4]
A relaxed structure of LiReSb2O8, computed with PBE.

* ΔE_f (raw): -1.4556 eV per atom
* DFT total energy: -6.64 eV per atom
* Fermi-level density of states: 3.76 states/eV/cell
* space-group type: P2/m (10)
* size of the total moment: 0.981 μB per formula unit

CIF file:
```
data_LiReSb2O8
_symmetry_space_group_name_H-M 'P 1'
_symmetry_Int_Tables_number 1
_symmetry_space_group_name_Hall 'P 1'
_cell_length_a 4.7335
_cell_length_b 4.7294
_cell_length_c 6.3526
_cell_angle_alpha 90.00
_cell_angle_beta 90.00
_cell_angle_gamma 89.32
loop_
_atom_site_label
_atom_site_type_symbol
_atom_site_fract_x
_atom_site_fract_y
_atom_site_fract_z
_atom_site_occupancy
Li1 Li 0.0000 0.0000 0.5000 1
Re1 Re 0.0000 0.0000 0.0000 1
Sb1 Sb 0.5000 0.5000 0.7409 1
Sb2 Sb 0.5000 0.5000 0.2591 1
O1 O 0.1951 0.8032 0.2249 1
O2 O 0.7047 0.7063 0.0000 1
O3 O 0.8048 0.1968 0.2249 1
O4 O 0.8049 0.1968 0.7751 1
O5 O 0.2953 0.2937 0.0000 1
O6 O 0.1952 0.8032 0.7751 1
O7 O 0.6926 0.6942 0.5000 1
O8 O 0.3074 0.3058 0.5000 1
```

=====

[5]
A relaxed structure of LiSc2ReO6, computed with PBE.

* ΔE_f (raw): -2.5293 eV per atom
* DFT total energy: -8.21 eV per atom
* Fermi-level density of states: 5.23 states/eV/cell
* space-group type: R3 (146)
* size of the total moment: 2.000 μB per formula unit

CIF file:
```
data_LiSc2ReO6
_symmetry_space_group_name_H-M 'P 1'
_symmetry_Int_Tables_number 1
_symmetry_space_group_name_Hall 'P 1'
_cell_length_a 5.2796
_cell_length_b 5.2798
_cell_length_c 5.7087
_cell_angle_alpha 62.46
_cell_angle_beta 62.46
_cell_angle_gamma 60.00
loop_
_atom_site_label
_atom_site_type_symbol
_atom_site_fract_x
_atom_site_fract_y
_atom_site_fract_z
_atom_site_occupancy
Li1 Li 0.7932 0.7934 0.6203 1
Sc1 Sc 0.5223 0.5224 0.4328 1
Sc2 Sc 0.0163 0.0162 0.9513 1
Re1 Re 0.3232 0.3232 0.0304 1
O1 O 0.5864 0.2388 0.2335 1
O2 O 0.2388 0.9412 0.2336 1
O3 O 0.9413 0.5863 0.2334 1
O4 O 0.4061 0.7085 0.7600 1
O5 O 0.7085 0.1255 0.7601 1
O6 O 0.1255 0.4061 0.7599 1
```

=====

[6]
A relaxed structure of LiRe2SeO, computed with PBE.

* ΔE_f (raw): 1.4397 eV per atom
* DFT total energy: -5.61 eV per atom
* Fermi-level density of states: 2.77 states/eV/cell
* space-group type: P4/mmm (123)
* size of the total moment: 5.000 μB per formula unit

CIF file:
```
data_LiRe2SeO
_symmetry_space_group_name_H-M 'P 1'
_symmetry_Int_Tables_number 1
_symmetry_space_group_name_Hall 'P 1'
_cell_length_a 4.6964
_cell_length_b 4.1965
_cell_length_c 4.6964
_cell_angle_alpha 90.00
_cell_angle_beta 90.00
_cell_angle_gamma 90.00
loop_
_atom_site_label
_atom_site_type_symbol
_atom_site_fract_x
_atom_site_fract_y
_atom_site_fract_z
_atom_site_occupancy
Re1 Re 0.0000 0.0000 0.5000 1
Re2 Re 0.5000 0.0000 0.0000 1
O1 O 0.0000 0.5000 0.0000 1
Se1 Se 0.0000 0.0000 0.0000 1
Li1 Li 0.5000 0.5000 0.5000 1
```

=====

[7]
A relaxed structure of Li2ReSeO, computed with PBE.

* ΔE_f (raw): 0.6195 eV per atom
* DFT total energy: -4.32 eV per atom
* Fermi-level density of states: 3.56 states/eV/cell
* space-group type: P4/mmm (123)
* size of the total moment: 2.724 μB per formula unit

CIF file:
```
data_Li2ReSeO
_symmetry_space_group_name_H-M 'P 1'
_symmetry_Int_Tables_number 1
_symmetry_space_group_name_Hall 'P 1'
_cell_length_a 4.5264
_cell_length_b 4.6806
_cell_length_c 4.5264
_cell_angle_alpha 90.00
_cell_angle_beta 90.00
_cell_angle_gamma 90.00
loop_
_atom_site_label
_atom_site_type_symbol
_atom_site_fract_x
_atom_site_fract_y
_atom_site_fract_z
_atom_site_occupancy
Re1 Re 0.0000 0.5000 0.0000 1
O1 O 0.5000 0.5000 0.5000 1
Se1 Se 0.0000 0.0000 0.0000 1
Li1 Li 0.0000 0.0000 0.5000 1
Li2 Li 0.5000 0.0000 0.0000 1
```

=====

[8]
A relaxed structure of SrLi2Re2O7, computed with PBE.

* ΔE_f (raw): -1.9309 eV per atom
* DFT total energy: -7.36 eV per atom
* Fermi-level density of states: 5.94 states/eV/cell
* space-group type: I4/mmm (139)
* size of the total moment: 0.111 μB per formula unit

CIF file:
```
data_SrLi2Re2O7
_symmetry_space_group_name_H-M 'P 1'
_symmetry_Int_Tables_number 1
_symmetry_space_group_name_Hall 'P 1'
_cell_length_a 3.8906
_cell_length_b 3.8906
_cell_length_c 9.6201
_cell_angle_alpha 101.67
_cell_angle_beta 101.67
_cell_angle_gamma 90.00
loop_
_atom_site_label
_atom_site_type_symbol
_atom_site_fract_x
_atom_site_fract_y
_atom_site_fract_z
_atom_site_occupancy
Sr1 Sr 0.0000 0.0000 0.0000 1
Li1 Li 0.2500 0.7495 0.5000 1
Li2 Li 0.7500 0.2504 0.5000 1
Re1 Re 0.3878 0.3878 0.7757 1
Re2 Re 0.6122 0.6122 0.2243 1
O1 O 0.3923 0.8922 0.7846 1
O2 O 0.7158 0.7157 0.4315 1
O3 O 0.1077 0.6077 0.2154 1
O4 O 0.6077 0.1077 0.2154 1
O5 O 0.2842 0.2842 0.5685 1
O6 O 0.8923 0.3923 0.7846 1
O7 O 0.5000 0.5000 0.0000 1
```